(1)
The following is a PBE calculation of crystalline MnTc3N at its relaxed geometry, from the Alexandria database.

Output
- D(E_F) (states/eV per cell) = 5.689
- space-group type = No. 221
- ΔE_f (raw) (meV/atom) = 171
- energy above the most stable polymorph in this dataset (eV/f.u.) = 0.00

Geometry as POSCAR:
```
MnTc3N
1.0
3.9889 0.0000 0.0000
0.0000 3.9889 0.0000
0.0000 0.0000 3.9889
N Tc Mn
1 3 1
direct
0.0000 0.0000 0.0000
0.0000 0.0000 0.5000
0.5000 0.0000 0.0000
0.0000 0.5000 0.0000
0.5000 0.5000 0.5000
```

(2)
The following is a PBE calculation of crystalline Rb2HCl at its relaxed geometry, from the Alexandria database.

Output
- D(E_F) (states/eV per cell) = 0.000
- space-group type = No. 122
- energy above the most stable polymorph in this dataset (eV/f.u.) = 0.23

Geometry as POSCAR:
```
Rb2HCl
1.0
-3.3948 0.0520 -7.0897
-4.4377 -6.1459 2.0799
-7.2562 -0.0867 -0.8839
H Cl Rb
2 2 4
direct
0.5000 0.5000 0.0000
0.2500 0.7500 0.5000
0.7500 0.2500 0.5000
0.0000 0.0000 0.0000
0.5848 0.1250 0.2500
0.1652 0.6250 0.2500
0.8750 0.8348 0.7500
0.3750 0.4152 0.7500
```

(3)
The following is a PBE calculation of crystalline Cd2P6Pd21 at its relaxed geometry, from the Alexandria database.

Output
- D(E_F) (states/eV per cell) = 12.301
- space-group type = No. 225
- energy of formation (eV/atom) = -0.4721

Geometry as POSCAR:
```
Cd2P6Pd21
1.0
7.4249 0.0000 4.2868
2.4750 7.0003 4.2868
0.0000 0.0000 8.5735
P Pd Cd
6 21 2
direct
0.7362 0.7362 0.2638
0.7362 0.2638 0.7362
0.7362 0.2638 0.2638
0.2638 0.7362 0.7362
0.2638 0.2638 0.7362
0.2638 0.7362 0.2638
0.0000 0.3430 0.0000
0.3430 0.0000 0.0000
0.6164 0.6164 0.1508
0.6164 0.6164 0.6164
0.3430 0.0000 0.6570
0.0000 0.6570 0.0000
0.3836 0.3836 0.3836
0.6570 0.3430 0.0000
0.0000 0.6570 0.3430
0.3836 0.8492 0.3836
0.6570 0.0000 0.0000
0.0000 0.0000 0.3430
0.0000 0.3430 0.6570
0.0000 0.0000 0.6570
0.6164 0.1508 0.6164
0.3836 0.3836 0.8492
0.3430 0.6570 0.0000
0.1508 0.6164 0.6164
0.0000 0.0000 0.0000
0.8492 0.3836 0.3836
0.6570 0.0000 0.3430
0.2500 0.2500 0.2500
0.7500 0.7500 0.7500
```

(4)
The following is a PBE calculation of crystalline NpBeGa3 at its relaxed geometry, from the Alexandria database.

Output
- D(E_F) (states/eV per cell) = 6.578
- space-group type = No. 107
- energy of formation (eV/atom) = -0.1328

Geometry as POSCAR:
```
NpBeGa3
1.0
3.8639 -0.0008 1.3345
-0.4610 3.8345 1.3377
0.1408 0.1539 5.8510
Ga Np Be
3 1 1
direct
0.6409 0.9442 0.4235
0.8035 0.6067 0.0984
0.1409 0.4446 0.4234
0.3988 0.2022 0.9077
0.0236 0.8275 0.6581
```

(5)
The following is a PBE calculation of crystalline Ac12Tl6Co at its relaxed geometry, from the Alexandria database.

Output
- D(E_F) (states/eV per cell) = 22.442
- space-group type = No. 148
- energy of formation (eV/atom) = -0.1606

Geometry as POSCAR:
```
Ac12Tl6Co
1.0
-1.4044 -8.8792 1.4625
8.5867 -1.2586 -2.7631
2.4367 1.5908 8.6303
Ac Co Tl
12 1 6
direct
0.9228 0.6958 0.0377
0.1960 0.4200 0.5478
0.3042 0.9623 0.0772
0.6958 0.0377 0.9228
0.4522 0.8040 0.5800
0.9623 0.0772 0.3042
0.4200 0.5478 0.1960
0.5478 0.1960 0.4200
0.5800 0.4522 0.8040
0.0377 0.9228 0.6958
0.8040 0.5800 0.4522
0.0772 0.3042 0.9623
0.0000 0.0000 0.0000
0.6441 0.8592 0.2631
0.8592 0.2631 0.6441
0.1408 0.7369 0.3559
0.7369 0.3559 0.1408
0.3559 0.1408 0.7369
0.2631 0.6441 0.8592
```

(6)
The following is a PBE calculation of crystalline BaLi2PrPb2 at its relaxed geometry, from the Alexandria database.

Output
- D(E_F) (states/eV per cell) = 2.496
- space-group type = No. 164
- energy of formation (eV/atom) = -0.5048

Geometry as POSCAR:
```
BaLi2PrPb2
1.0
5.0103 0.0000 0.0000
-2.5052 4.3391 0.0000
0.0000 0.0000 8.4208
Ba Pb Li Pr
1 2 2 1
direct
0.0000 0.0000 0.0000
0.3333 0.6667 0.2923
0.6667 0.3333 0.7077
0.6667 0.3333 0.3130
0.3333 0.6667 0.6870
0.0000 0.0000 0.5000
```

(7)
The following is a PBE calculation of crystalline Nd3TmAl8 at its relaxed geometry, from the Alexandria database.

Output
- D(E_F) (states/eV per cell) = 6.076
- space-group type = No. 156
- energy above the most stable polymorph in this dataset (eV/f.u.) = 0.12
- energy of formation (eV/atom) = -0.4825

Geometry as POSCAR:
```
Nd3TmAl8
1.0
-5.2397 2.0713 -0.1129
0.8271 -5.5403 0.6157
0.2192 1.0567 9.2144
Nd Al Tm
3 8 1
direct
0.6667 0.3333 0.0695
0.6667 0.3333 0.4334
0.0000 0.0000 0.9319
0.1621 0.8379 0.2530
0.5042 0.0084 0.7462
0.3333 0.6667 0.5017
0.5042 0.4958 0.7462
0.9916 0.4958 0.7462
0.3333 0.6667 0.9978
0.6758 0.8379 0.2530
0.1621 0.3242 0.2530
0.0000 0.0000 0.5682
```

(8)
The following is a PBE calculation of crystalline Ti2Tc4W at its relaxed geometry, from the Alexandria database.

Output
- D(E_F) (states/eV per cell) = 9.740
- space-group type = No. 139
- energy of formation (eV/atom) = 0.1386

Geometry as POSCAR:
```
Ti2Tc4W
1.0
-4.7007 1.7183 -1.7263
-0.6454 -4.3853 2.8951
2.2721 3.7137 3.0125
Ti Tc W
2 4 1
direct
0.5000 0.5000 0.0000
0.5000 0.0000 0.5000
0.0000 0.0000 0.5000
0.5000 0.5000 0.5000
0.0000 0.5000 0.0000
0.5000 0.0000 0.0000
0.0000 0.0000 0.0000
```

(9)
The following is a PBE calculation of crystalline PrNd6Er8 at its relaxed geometry, from the Alexandria database.

Output
- D(E_F) (states/eV per cell) = 21.425
- space-group type = No. 148
- energy of formation (eV/atom) = 0.1272

Geometry as POSCAR:
```
PrNd6Er8
1.0
9.0885 0.0000 0.0000
4.5442 7.8709 0.0000
4.5442 2.6236 6.9723
Er Nd Pr
8 6 1
direct
0.7487 0.7148 0.4242
0.7148 0.1122 0.4242
0.2852 0.8878 0.5758
0.8878 0.2513 0.5758
0.5763 0.5763 0.2710
0.1122 0.7487 0.4242
0.2513 0.2852 0.5758
0.4237 0.4237 0.7290
0.1033 0.2280 0.1319
0.5367 0.1033 0.1319
0.2280 0.5367 0.1319
0.8967 0.7720 0.8681
0.7720 0.4633 0.8681
0.4633 0.8967 0.8681
0.0000 0.0000 0.0000
```

(10)
The following is a PBE calculation of crystalline BaIrCl2 at its relaxed geometry, from the Alexandria database.

Output
- D(E_F) (states/eV per cell) = 2.732
- space-group type = No. 123
- ΔE_f (raw) (meV/atom) = -341
- energy above the most stable polymorph in this dataset (eV/f.u.) = 1.92

Geometry as POSCAR:
```
BaIrCl2
1.0
-1.0919 -1.4168 -3.5959
-4.2700 -1.4558 1.8702
-1.9632 4.3316 -1.1105
Cl Ir Ba
2 1 1
direct
0.0000 0.0000 0.0000
0.0000 0.5000 0.5000
0.5000 0.5000 0.0000
0.5000 0.0000 0.5000
```

(11)
The following is a PBE calculation of crystalline Pm6Tl5Ge at its relaxed geometry, from the Alexandria database.

Output
- D(E_F) (states/eV per cell) = 5.646
- space-group type = No. 10
- energy of formation (eV/atom) = -0.4241

Geometry as POSCAR:
```
Pm6Tl5Ge
1.0
-3.1770 6.9767 -5.4091
-0.7865 -0.2825 -5.3745
-8.0861 -2.6696 -1.4469
Pm Tl Ge
6 5 1
direct
0.7532 0.4064 0.6813
0.2365 0.2635 0.0000
0.7635 0.7365 0.0000
0.2470 0.9124 0.6813
0.7530 0.0876 0.3187
0.2468 0.5936 0.3187
0.9999 0.3247 0.3505
0.5000 0.1684 0.6634
0.5000 0.8316 0.3366
0.5000 0.5000 0.0000
0.0001 0.6753 0.6495
0.0000 0.0000 0.0000
```

(12)
The following is a PBE calculation of crystalline Al2PdPt3 at its relaxed geometry, from the Alexandria database.

Output
- D(E_F) (states/eV per cell) = 4.603
- space-group type = No. 72
- energy above the most stable polymorph in this dataset (eV/f.u.) = 0.29
- energy of formation (eV/atom) = -0.7106

Geometry as POSCAR:
```
Al2PdPt3
1.0
5.4696 -5.1229 0.5434
-0.1262 -4.9116 5.6848
-4.7121 2.6132 -5.2367
Pt Pd Al
6 2 4
direct
0.6796 0.4159 0.7363
0.1796 0.9434 0.7637
0.3204 0.5841 0.2637
0.8204 0.0566 0.2363
0.2500 0.5000 0.7500
0.7500 0.5000 0.2500
0.2500 0.0000 0.2500
0.7500 0.0000 0.7500
0.3667 0.1231 0.7564
0.8667 0.6103 0.7436
0.6333 0.8769 0.2436
0.1333 0.3897 0.2564
```

Q: Number 4 is which compound?
A: NpBeGa3